Pu3Np4S12 after structural relaxation. Source: the Alexandria database, functional GGA-PBE.

Geometry as CIF:
```
data_Pu3Np4S12
_chemical_formula_sum 'Pu6 Np8 S24'
_space_group_name_H-M_alt 'I m -3'
_space_group_IT_number 204
_space_group_name_Hall '-I 2 2 3'
_cell_length_a 10.078
_cell_length_b 10.078
_cell_length_c 10.078
_cell_angle_alpha 90.00
_cell_angle_beta 90.00
_cell_angle_gamma 90.00
loop_
_atom_site_label
_atom_site_type_symbol
_atom_site_fract_x
_atom_site_fract_y
_atom_site_fract_z
Pu1 Pu 0.000 0.000 0.500
Np1 Np 0.250 0.250 0.250
S1 S 0.000 0.207 0.321
```

Values from the calculation:
ΔE_f (raw) = -1.324 eV/atom
final energy = -8.919 eV per atom
total moment = 28.0 μB per formula unit
ρ = 6.70 g/cm³